This record from Alexandria via LeMat-Bulk describes a crystal of La2AgAu relaxed with PBEsol. The functional is meta-GGA SCAN.

Values from the calculation:
V   25.83 Å³/atom
Theoretical density   9.365 g/cm³
Total energy   -47.345 eV per atom
Magnetization   0.00 μB per formula unit
Energy relative to the lowest polymorph listed for this composition   38 meV/atom
DFT formation energy   -0.66 eV per atom

```
data_La2AgAu
_chemical_formula_sum 'La8 Ag4 Au4'
_space_group_name_H-M_alt 'F m -3 m'
_space_group_IT_number 225
_space_group_name_Hall '-F 4 2 3'
_cell_length_a 7.448
_cell_length_b 7.448
_cell_length_c 7.448
_cell_angle_alpha 90.00
_cell_angle_beta 90.00
_cell_angle_gamma 90.00
loop_
_atom_site_label
_atom_site_type_symbol
_atom_site_fract_x
_atom_site_fract_y
_atom_site_fract_z
La1 La 0.250 0.250 0.250
Ag1 Ag 0.000 0.000 0.000
Au1 Au 0.000 0.000 0.500
```